A geometry-optimized CsK2As2 structure, computed with PBE.

Properties
formation energy	-8.11	kcal/mol of atoms
E above lowest polymorph	0	meV/atom
mass density	2.92	Mg/m³

Cell lengths 14.5256, 6.0942, 9.4943 Å; angles 90.00, 102.05, 90.00 degrees
Space group C2/c (No. 15)
Asymmetric unit:
1 Cs 0.0000 0.1781 0.2500 (multiplicity 4)
2 K 0.1861 0.3268 0.6575 (multiplicity 8)
3 As 0.1697 0.1843 0.9940 (multiplicity 8)